Arrangement A

{"formula": "MgZr2N", "functional": "GGA-PBE", "state": "optimized geometry", "crystal_system": "cubic", "rho_g_cm3": 5.324, "magmom_total_mub_per_atom": 0.000, "spacegroup": "Fm-3m (225)", "cell": [[0.0000, 3.2531, 3.2531], [3.2531, 0.0000, 3.2531], [3.2531, 3.2531, 0.0000]], "species": ["Mg", "Zr", "Zr", "N"], "frac_coords": [[0.0000, 0.0000, 0.0000], [0.2500, 0.2500, 0.2500], [0.7500, 0.7500, 0.7500], [0.5000, 0.5000, 0.5000]]}

---

Arrangement B

{"formula": "MgZr2N", "functional": "GGA-PBE", "state": "optimized geometry", "crystal_system": "trigonal", "rho_g_cm3": 4.991, "magmom_total_mub_per_atom": 0.000, "spacegroup": "R3m (160)", "cell": [[1.6535, 0.9547, 7.7554], [-1.6535, 0.9547, 7.7554], [0.0000, -1.9093, 7.7554]], "species": ["Mg", "Zr", "Zr", "N"], "frac_coords": [[0.0000, 0.0000, 0.0000], [0.5530, 0.5530, 0.5530], [0.7808, 0.7808, 0.7808], [0.1675, 0.1675, 0.1675]]}

---

According to the calculations, the structures order from most to least stable as arrangement B, arrangement A.

---

Arrangement A

{"formula": "Na3Mg2", "functional": "GGA-PBE", "state": "optimized geometry", "crystal_system": "orthorhombic", "rho_g_cm3": 1.233, "magmom_total_mub_per_atom": 0.000, "spacegroup": "Fdd2 (43)", "cell": [[0.0000, 11.9725, 1.5525], [8.5168, 0.0000, 1.5525], [8.5168, 11.9725, 0.0000]], "species": ["Na", "Na", "Na", "Na", "Na", "Na", "Mg", "Mg", "Mg", "Mg"], "frac_coords": [[0.0000, 0.0000, 0.0000], [0.2500, 0.2500, 0.2500], [0.2573, 0.3646, 0.9598], [0.2902, 0.8317, 0.9927], [0.3646, 0.2573, 0.4183], [0.8317, 0.2902, 0.8854], [0.3233, 0.7377, 0.6154], [0.6346, 0.9265, 0.9267], [0.7377, 0.3233, 0.3235], [0.9265, 0.6346, 0.5123]]}

---

Arrangement B

{"formula": "Na3Mg2", "functional": "GGA-PBE", "state": "optimized geometry", "crystal_system": "trigonal", "rho_g_cm3": 1.338, "magmom_total_mub_per_atom": 0.000, "spacegroup": "R-3m (166)", "cell": [[1.6751, 0.9671, 15.0089], [-1.6751, 0.9671, 15.0089], [0.0000, -1.9342, 15.0089]], "species": ["Na", "Na", "Na", "Mg", "Mg"], "frac_coords": [[0.0000, 0.0000, 0.0000], [0.2029, 0.2029, 0.2029], [0.7971, 0.7971, 0.7971], [0.3984, 0.3984, 0.3984], [0.6016, 0.6016, 0.6016]]}

---

Arrangement C

{"formula": "Na3Mg2", "functional": "GGA-PBE", "state": "optimized geometry", "crystal_system": "trigonal", "rho_g_cm3": 1.210, "magmom_total_mub_per_atom": 0.000, "spacegroup": "R-3m (166)", "cell": [[3.3295, 1.9223, 4.2009], [-3.3295, 1.9223, 4.2009], [0.0000, -3.8446, 4.2009]], "species": ["Na", "Na", "Na", "Mg", "Mg"], "frac_coords": [[0.0000, 0.5000, 0.5000], [0.5000, 0.0000, 0.5000], [0.5000, 0.5000, 0.0000], [0.1186, 0.1186, 0.1186], [0.8814, 0.8814, 0.8814]]}

---

According to the calculations, the structures order from most to least stable as arrangement B, arrangement A, arrangement C.